## CoPt3O6 (PBE with a Hubbard U)

Data for crystalline CoPt3O6 at its relaxed geometry.

Computed properties:
**Density of states at the Fermi level**: 0.40 states/eV per cell
**M_tot**: 3.002 μB per cell
**Space-group type**: No. 65
**Raw total energy**: -5.92 eV per atom

abc: 6.158 6.158 3.235
angles: 90.00 90.00 109.08
Sites, in units of the cell vectors:
Co 0.000 0.000 0.000
Pt 0.000 0.500 0.500
Pt 0.500 0.000 0.500
Pt 0.500 0.500 0.000
O 0.147 0.853 0.500
O 0.159 0.413 0.000
O 0.413 0.159 0.000
O 0.587 0.841 0.000
O 0.841 0.587 0.000
O 0.853 0.147 0.500